Record 1
A relaxed BaOsCl2 crystal, computed with GGA-PBE.

Calculated values
SG   No. 166
M_tot   1.82 Bohr magnetons per cell
Uncorrected formation energy   0.2516 eV/atom
E   -0.14552 hartree per atom
Energy relative to the lowest polymorph listed for this composition   649 meV per atom

```
BaOsCl2
1.0
3.989 0.000 0.000
-1.995 3.455 0.000
0.000 0.000 24.271
Ba Os Cl
3 3 6
direct
0.000 0.000 0.000 Ba
0.333 0.667 0.667 Ba
0.667 0.333 0.333 Ba
0.000 0.000 0.500 Os
0.333 0.667 0.167 Os
0.667 0.333 0.833 Os
0.000 0.000 0.126 Cl
0.000 0.000 0.874 Cl
0.333 0.667 0.540 Cl
0.333 0.667 0.793 Cl
0.667 0.333 0.207 Cl
0.667 0.333 0.460 Cl
```


Record 2
A relaxed BaOs2Cl crystal, computed with GGA-PBE.

Calculated values
SG   No. 65
M_tot   0.84 Bohr magnetons per cell
Uncorrected formation energy   1.1906 eV/atom
E   -0.19722 hartree per atom
Energy relative to the lowest polymorph listed for this composition   1184 meV per atom

```
BaOs2Cl
1.0
5.258 0.000 0.000
0.000 12.162 0.000
0.000 0.000 2.938
Ba Os Cl
2 4 2
direct
0.000 0.000 0.000 Ba
0.500 0.500 0.000 Ba
0.250 0.250 0.500 Os
0.250 0.750 0.500 Os
0.750 0.250 0.500 Os
0.750 0.750 0.500 Os
0.000 0.500 0.000 Cl
0.500 0.000 0.000 Cl
```


Record 3
A relaxed BaOsCl2 crystal, computed with GGA-PBE.

Calculated values
SG   No. 119
M_tot   6.16 Bohr magnetons per cell
Uncorrected formation energy   0.1022 eV/atom
E   -0.15101 hartree per atom
Energy relative to the lowest polymorph listed for this composition   499 meV per atom

```
BaOsCl2
1.0
4.290 0.000 0.000
0.000 4.290 0.000
0.000 0.000 11.734
Ba Os Cl
2 2 4
direct
0.000 0.000 0.000 Ba
0.500 0.500 0.500 Ba
0.000 0.500 0.250 Os
0.500 0.000 0.750 Os
0.000 0.000 0.500 Cl
0.000 0.500 0.750 Cl
0.500 0.000 0.250 Cl
0.500 0.500 0.000 Cl
```


Record 4
A relaxed BaOsCl2 crystal, computed with GGA-PBE.

Calculated values
SG   No. 8
M_tot   1.99 Bohr magnetons per cell
Uncorrected formation energy   -0.2284 eV/atom
E   -0.16316 hartree per atom
Energy relative to the lowest polymorph listed for this composition   169 meV per atom

```
BaOsCl2
1.0
12.621 0.000 0.000
0.000 4.045 0.000
-0.371 0.000 4.835
Ba Os Cl
2 2 4
direct
0.000 0.000 0.000 Ba
0.500 0.500 0.000 Ba
0.267 0.000 0.922 Os
0.767 0.500 0.922 Os
0.019 0.500 0.505 Cl
0.248 0.500 0.107 Cl
0.519 0.000 0.505 Cl
0.748 0.000 0.107 Cl
```